A plane-wave DFT calculation with PBE was carried out for an optimized crystal structure of RhCO2F.

Cell lengths 3.8488, 3.8488, 4.0884 Å; angles 90.00, 90.00, 90.00 degrees
Last column: nearest neighbours and their distance in Å.
Element x y z (fractional)
Rh: 0.0000 0.0000 0.0000  4 O 1.92, 2 F 2.04
C: 0.5000 0.5000 0.5000  4 F 2.72, 8 O 2.81
O: 0.0000 0.5000 0.0000  2 Rh 1.92
O: 0.5000 0.0000 0.0000  2 Rh 1.92
F: 0.0000 0.0000 0.5000  2 Rh 2.04

Total magnetization: 0.611 μB/f.u.
Formation energy from raw total energies: 0.951 eV/atom
DOS at the Fermi energy: 4.135 states/eV/cell
Calculated density: 4.55 Mg/m³
Space group: P4/mmm (123)

A plane-wave DFT calculation with PBE was carried out for an optimized crystal structure of Cd2H2Au.

Cell lengths 7.3040, 7.3040, 2.9189 Å; angles 90.00, 90.00, 90.00 degrees
Last column: nearest neighbours and their distance in Å.
Element x y z (fractional)
Cd: 0.2496 0.2504 0.0000  2 H 2.63, 2 Cd 2.92
Cd: 0.2504 0.7504 0.0000  2 H 2.63, 2 Cd 2.92
Cd: 0.7496 0.2496 0.0000  2 H 2.63, 2 Cd 2.92
Cd: 0.7504 0.7496 0.0000  2 H 2.63, 2 Cd 2.92
H: 0.0373 0.4627 0.5000  1 H 0.77
H: 0.4627 0.9627 0.5000  1 H 0.77
H: 0.5373 0.0373 0.5000  1 H 0.77
H: 0.9627 0.5373 0.5000  1 H 0.77
Au: 0.0000 0.0000 0.5000  2 Au 2.92, 8 Cd 2.97
Au: 0.5000 0.5000 0.5000  2 Au 2.92, 8 Cd 2.97

Total magnetization: 0.000 μB/f.u.
DOS at the Fermi energy: 1.458 states/eV/cell
Calculated density: 9.04 Mg/m³
Space group: P4/mbm (127)
Energy above the most stable polymorph in this dataset: 0.000 eV per atom

A plane-wave DFT calculation with PBE was carried out for an optimized crystal structure of P2WCl.

Cell lengths 2.9409, 5.8203, 9.2651 Å; angles 90.00, 90.00, 90.00 degrees
Last column: nearest neighbours and their distance in Å.
Element x y z (fractional)
P: 0.0000 0.0000 0.0000  2 P 2.16
P: 0.0000 0.5000 0.1709  2 P 2.16
P: 0.5000 0.0000 0.1709  2 P 2.16
P: 0.5000 0.5000 0.0000  2 P 2.16
W: 0.0000 0.0000 0.3902  2 Cl 2.43, 2 P 2.51
W: 0.5000 0.5000 0.3902  2 Cl 2.43, 2 P 2.51
Cl: 0.0000 0.5000 0.5992  2 W 2.43
Cl: 0.5000 0.0000 0.5992  2 W 2.43

Total magnetization: 0.442 μB/f.u.
Formation energy from raw total energies: 0.510 eV/atom
DOS at the Fermi energy: 7.660 states/eV/cell
Calculated density: 5.89 Mg/m³
Space group: Cmm2 (35)
Energy above the most stable polymorph in this dataset: 0.642 eV per atom

A plane-wave DFT calculation with PBE was carried out for an optimized crystal structure of Tm2CuI8.

Cell lengths 8.9720, 8.9720, 7.8950 Å; angles 92.12, 92.12, 72.00 degrees
Last column: nearest neighbours and their distance in Å.
Element x y z (fractional)
Tm: 0.2046 0.2046 0.3359  4 I 2.78-2.90
Tm: 0.7954 0.7954 0.6641  4 I 2.78-2.90
Cu: 0.0000 0.0000 0.0000  4 I 2.70
I: 0.1009 0.7213 0.8322  1 Cu 2.70, 1 Tm 2.90
I: 0.1944 0.1944 0.6916  1 Tm 2.82
I: 0.2787 0.8991 0.1678  1 Cu 2.70, 1 Tm 2.90
I: 0.3862 0.3862 0.2386  1 Tm 2.78
I: 0.6138 0.6138 0.7614  1 Tm 2.78
I: 0.7213 0.1009 0.8322  1 Cu 2.70, 1 Tm 2.90
I: 0.8056 0.8056 0.3084  1 Tm 2.82
I: 0.8991 0.2787 0.1678  1 Cu 2.70, 1 Tm 2.90

Total magnetization: 0.992 μB/f.u.
Formation energy from raw total energies: -0.846 eV/atom
DOS at the Fermi energy: 1.399 states/eV/cell
Calculated density: 3.90 Mg/m³
Space group: C2/m (12)

A plane-wave DFT calculation with PBE was carried out for an optimized crystal structure of TmCoSb.

Cell lengths 6.1900, 6.1900, 11.1502 Å; angles 90.00, 90.00, 120.00 degrees
Last column: nearest neighbours and their distance in Å.
Element x y z (fractional)
Tm: 0.0000 0.0000 0.0000  4 Co 3.30, 4 Sb 3.37, 4 Tm 3.61
Tm: 0.0000 0.0000 0.3333  4 Co 3.30, 4 Sb 3.37, 4 Tm 3.61
Tm: 0.0000 0.0000 0.6667  4 Co 3.30, 4 Sb 3.37, 4 Tm 3.61
Tm: 0.0000 0.5000 0.1667  4 Co 2.87, 6 Sb 3.14-3.19
Tm: 0.5000 0.0000 0.5000  4 Co 2.87, 6 Sb 3.14-3.19
Tm: 0.5000 0.5000 0.8333  4 Co 2.87, 6 Sb 3.14-3.19
Co: 0.2123 0.6061 0.6667  1 Co 2.28
Co: 0.3939 0.6061 0.3333  1 Co 2.28
Co: 0.3939 0.7877 0.0000  1 Co 2.28
Co: 0.6061 0.2123 0.0000  1 Co 2.28
Co: 0.6061 0.3939 0.3333  1 Co 2.28
Co: 0.7877 0.3939 0.6667  1 Co 2.28
Sb: 0.0000 0.5000 0.4527  4 Co 2.56-2.64
Sb: 0.0000 0.5000 0.8806  4 Co 2.56-2.64
Sb: 0.5000 0.0000 0.2140  4 Co 2.56-2.64
Sb: 0.5000 0.0000 0.7860  4 Co 2.56-2.64
Sb: 0.5000 0.5000 0.1194  4 Co 2.56-2.64
Sb: 0.5000 0.5000 0.5473  4 Co 2.56-2.64

Total magnetization: 0.482 μB/f.u.
Formation energy from raw total energies: -0.372 eV/atom
DOS at the Fermi energy: 16.196 states/eV/cell
Calculated density: 9.41 Mg/m³
Space group: P6_222 (180)

A plane-wave DFT calculation with PBE was carried out for an optimized crystal structure of Pu2ThScSe4.

Cell lengths 6.9897, 4.0634, 7.2518 Å; angles 90.00, 109.08, 90.00 degrees
Last column: nearest neighbours and their distance in Å.
Element x y z (fractional)
Pu: 0.0000 0.0000 0.0000  6 Se 2.86-2.87
Pu: 0.0000 0.5000 0.5000  6 Se 2.98-2.99
Th: 0.5000 0.0000 0.5000  6 Se 2.94
Sc: 0.5000 0.5000 0.0000  6 Se 2.81-2.82
Se: 0.2510 0.5000 0.2351  1 Sc 2.81, 3 Pu 2.86-2.99, 2 Th 2.94
Se: 0.2615 0.0000 0.7665  2 Sc 2.82, 3 Pu 2.87-2.98, 1 Th 2.94
Se: 0.7385 0.0000 0.2335  2 Sc 2.82, 3 Pu 2.87-2.98, 1 Th 2.94
Se: 0.7490 0.5000 0.7649  1 Sc 2.81, 3 Pu 2.86-2.99, 2 Th 2.94

Total magnetization: 0.258 μB/f.u.
Formation energy from raw total energies: -1.531 eV/atom
DOS at the Fermi energy: 16.536 states/eV/cell
Calculated density: 9.22 Mg/m³
Space group: P2/m (10)

A plane-wave DFT calculation with PBE was carried out for an optimized crystal structure of U2Cr2C3.

Cell lengths 11.7593, 3.0440, 5.2892 Å; angles 90.00, 116.60, 90.00 degrees
Last column: nearest neighbours and their distance in Å.
Element x y z (fractional)
U: 0.0917 0.0000 0.2714  5 C 2.38-2.47
U: 0.4083 0.5000 0.7286  5 C 2.38-2.47
U: 0.5917 0.5000 0.2714  5 C 2.38-2.47
U: 0.9083 0.0000 0.7286  5 C 2.38-2.47
Cr: 0.1623 0.5000 0.8248  4 C 1.91-2.01
Cr: 0.3377 0.0000 0.1752  4 C 1.91-2.01
Cr: 0.6623 0.0000 0.8248  4 C 1.91-2.01
Cr: 0.8377 0.5000 0.1752  4 C 1.91-2.01
C: 0.0000 0.5000 0.5000  2 Cr 1.91
C: 0.2505 0.0000 0.7503  3 Cr 1.98-2.01
C: 0.2495 0.5000 0.2497  3 Cr 1.98-2.01
C: 0.5000 0.0000 0.5000  2 Cr 1.91
C: 0.7495 0.0000 0.2497  3 Cr 1.98-2.01
C: 0.7505 0.5000 0.7503  3 Cr 1.98-2.01

Total magnetization: 0.000 μB/f.u.
DOS at the Fermi energy: 13.255 states/eV/cell
Calculated density: 12.09 Mg/m³
Space group: C2/m (12)
Formation energy from the elements: -284 meV/atom

A plane-wave DFT calculation with PBE was carried out for an optimized crystal structure of Mn2Cu2Pb.

Cell lengths 7.1429, 7.1429, 3.1840 Å; angles 90.00, 90.00, 90.00 degrees
Last column: nearest neighbours and their distance in Å.
Element x y z (fractional)
Mn: 0.1607 0.3393 0.0000  6 Cu 2.60-2.69
Mn: 0.3393 0.8393 0.0000  6 Cu 2.60-2.69
Mn: 0.6607 0.1607 0.0000  6 Cu 2.60-2.69
Mn: 0.8393 0.6607 0.0000  6 Cu 2.60-2.69
Cu: 0.1252 0.6252 0.5000  1 Cu 2.53, 6 Mn 2.60-2.69, 2 Pb 2.82
Cu: 0.3748 0.1252 0.5000  1 Cu 2.53, 6 Mn 2.60-2.69, 2 Pb 2.82
Cu: 0.6252 0.8748 0.5000  1 Cu 2.53, 6 Mn 2.60-2.69, 2 Pb 2.82
Cu: 0.8748 0.3748 0.5000  1 Cu 2.53, 6 Mn 2.60-2.69, 2 Pb 2.82
Pb: 0.0000 0.0000 0.5000  4 Cu 2.82, 8 Mn 3.12
Pb: 0.5000 0.5000 0.5000  4 Cu 2.82, 8 Mn 3.12

Total magnetization: 7.890 μB/f.u.
DOS at the Fermi energy: 4.613 states/eV/cell
Calculated density: 9.08 Mg/m³
Space group: P4/mbm (127)
Formation energy from the elements: 277 meV/atom

A plane-wave DFT calculation with PBE was carried out for an optimized crystal structure of Mo2As4P.

Cell lengths 4.8085, 4.8085, 12.5589 Å; angles 90.00, 90.00, 90.00 degrees
Last column: nearest neighbours and their distance in Å.
Element x y z (fractional)
Mo: 0.0000 0.0000 0.1031  1 As 2.40, 1 Mo 2.59
Mo: 0.0000 0.0000 0.8969  1 As 2.40, 1 Mo 2.59
Mo: 0.5000 0.5000 0.3969  1 As 2.40, 1 Mo 2.59
Mo: 0.5000 0.5000 0.6031  1 As 2.40, 1 Mo 2.59
As: 0.0000 0.0000 0.2941  1 Mo 2.40, 1 P 2.59
As: 0.0000 0.0000 0.7059  1 Mo 2.40, 1 P 2.59
As: 0.0000 0.5000 0.0000  2 P 2.40
As: 0.0000 0.5000 0.5000  2 P 2.40
As: 0.5000 0.0000 0.0000  2 P 2.40
As: 0.5000 0.0000 0.5000  2 P 2.40
As: 0.5000 0.5000 0.2059  1 Mo 2.40, 1 P 2.59
As: 0.5000 0.5000 0.7941  1 Mo 2.40, 1 P 2.59
P: 0.0000 0.0000 0.5000  6 As 2.40-2.59
P: 0.5000 0.5000 0.0000  6 As 2.40-2.59

Total magnetization: 2.423 μB/f.u.
DOS at the Fermi energy: 10.106 states/eV/cell
Calculated density: 5.98 Mg/m³
Space group: I4/mmm (139)
Formation energy from the elements: 754 meV/atom

A plane-wave DFT calculation with PBE was carried out for an optimized crystal structure of NaLi2PuF8.

Cell lengths 5.6943, 5.6943, 7.0335 Å; angles 90.00, 90.00, 120.00 degrees
Last column: nearest neighbours and their distance in Å.
Element x y z (fractional)
Na: 0.0000 0.0000 0.0000  6 F 2.70
Li: 0.3333 0.6667 0.1766  4 F 1.77-1.92
Li: 0.6667 0.3333 0.8234  4 F 1.77-1.92
Pu: 0.0000 0.0000 0.5000  6 F 2.09
F: 0.1629 0.3258 0.3094  1 Li 1.92, 1 Pu 2.09
F: 0.1629 0.8371 0.3094  1 Li 1.92, 1 Pu 2.09
F: 0.3258 0.1629 0.6906  1 Li 1.92, 1 Pu 2.09
F: 0.3333 0.6667 0.9253  1 Li 1.77
F: 0.6667 0.3333 0.0747  1 Li 1.77
F: 0.6742 0.8371 0.3094  1 Li 1.92, 1 Pu 2.09
F: 0.8371 0.1629 0.6906  1 Li 1.92, 1 Pu 2.09
F: 0.8371 0.6742 0.6906  1 Li 1.92, 1 Pu 2.09

Total magnetization: 3.697 μB/f.u.
Formation energy from raw total energies: -2.836 eV/atom
DOS at the Fermi energy: 16.607 states/eV/cell
Calculated density: 3.64 Mg/m³
Space group: P-3m1 (164)

A plane-wave DFT calculation with PBE was carried out for an optimized crystal structure of TcNi2S.

Cell lengths 5.6117, 6.8736, 5.1583 Å; angles 90.00, 97.40, 90.00 degrees
Last column: nearest neighbours and their distance in Å.
Element x y z (fractional)
Tc: 0.0000 0.2069 0.0000  3 S 2.38-2.43, 3 Ni 2.58-2.63
Tc: 0.0000 0.7931 0.0000  3 S 2.38-2.43, 3 Ni 2.58-2.63
Tc: 0.5000 0.2931 0.0000  3 S 2.38-2.43, 3 Ni 2.58-2.63
Tc: 0.5000 0.7069 0.0000  3 S 2.38-2.43, 3 Ni 2.58-2.63
Ni: 0.1935 0.3108 0.4896  3 S 2.22-2.45
Ni: 0.1935 0.6892 0.4896  3 S 2.22-2.45
Ni: 0.2723 0.0000 0.7330  2 S 2.22-2.27, 2 Ni 2.49
Ni: 0.3538 0.0000 0.2474  1 S 2.18
Ni: 0.6935 0.1892 0.4896  3 S 2.22-2.45
Ni: 0.6935 0.8108 0.4896  3 S 2.22-2.45
Ni: 0.7723 0.5000 0.7330  2 S 2.22-2.27, 2 Ni 2.49
Ni: 0.8538 0.5000 0.2474  1 S 2.18
S: 0.1697 0.5000 0.8343  3 Ni 2.22, 4 Tc 2.40-2.43
S: 0.4964 0.5000 0.3703  4 Ni 2.18-2.29, 2 Tc 2.38
S: 0.6697 0.0000 0.8343  3 Ni 2.22, 4 Tc 2.40-2.43
S: 0.9964 0.0000 0.3703  4 Ni 2.18-2.29, 2 Tc 2.38

Total magnetization: 0.000 μB/f.u.
Formation energy from raw total energies: -0.050 eV/atom
DOS at the Fermi energy: 16.194 states/eV/cell
Calculated density: 8.33 Mg/m³
Space group: Cm (8)

A plane-wave DFT calculation with PBE was carried out for an optimized crystal structure of TlTeAs2.

Cell lengths 3.9803, 5.6024, 9.1319 Å; angles 90.00, 90.00, 90.00 degrees
Last column: nearest neighbours and their distance in Å.
Element x y z (fractional)
Tl: 0.0000 0.0000 0.0000  4 As 3.17, 4 Tl 3.44
Tl: 0.5000 0.5000 0.0000  4 As 3.17, 4 Tl 3.44
Te: 0.0000 0.0000 0.5000  4 As 2.90
Te: 0.5000 0.5000 0.5000  4 As 2.90
As: 0.0000 0.5000 0.2696  2 Te 2.90, 2 Tl 3.17
As: 0.0000 0.5000 0.7304  2 Te 2.90, 2 Tl 3.17
As: 0.5000 0.0000 0.2696  2 Te 2.90, 2 Tl 3.17
As: 0.5000 0.0000 0.7304  2 Te 2.90, 2 Tl 3.17

Total magnetization: 0.000 μB/f.u.
Formation energy from raw total energies: 0.388 eV/atom
DOS at the Fermi energy: 3.618 states/eV/cell
Calculated density: 7.86 Mg/m³
Space group: Cmmm (65)
Energy above the most stable polymorph in this dataset: 0.374 eV per atom

Among the records above, which one has the highest total magnetization? Mn2Cu2Pb

calculated density of number 9 (Mo2As4P)? 5.98 Mg/m³

Among the records above, which one has the highest total magnetization? Mn2Cu2Pb